The following is a PBE-GGA calculation of CaTe2Ir after structural relaxation, from Alexandria.

Values from the calculation:
Formation energy without anion corrections, meV/atom: -196
Space group: No. 65

Cell and atoms, written as POSCAR:
```
CaTe2Ir
1.0
-3.741 0.327 -1.651
0.608 -2.661 3.063
-1.756 5.413 5.051
Te Ir Ca
2 1 1
direct
0.000 0.000 0.963
0.000 0.000 0.537
0.500 0.500 0.750
0.500 0.500 0.250
```



The following is a PBE-GGA calculation of CsHgTe2 after structural relaxation, from Alexandria.

Values from the calculation:
Formation energy without anion corrections, meV/atom: -509
Space group: No. 66

Cell and atoms, written as POSCAR:
```
CsHgTe2
1.0
9.673 0.000 0.000
0.000 8.408 -0.004
0.000 0.006 10.298
Hg Cs Te
4 4 8
direct
0.000 0.250 0.500
0.500 0.250 0.000
0.500 0.750 0.000
0.000 0.750 0.500
0.250 0.000 0.750
0.250 0.500 0.250
0.750 0.500 0.750
0.750 0.000 0.250
0.350 0.000 0.134
0.150 0.000 0.366
0.850 0.500 0.366
0.850 0.000 0.634
0.350 0.500 0.866
0.650 0.000 0.866
0.650 0.500 0.134
0.150 0.500 0.634
```



The following is a PBE-GGA calculation of LaInAgI5 after structural relaxation, from Alexandria.

Values from the calculation:
Formation energy without anion corrections, meV/atom: -906
Space group: No. 15

Cell and atoms, written as POSCAR:
```
LaInAgI5
1.0
8.598 -0.093 -0.090
-2.598 8.196 -0.090
-2.586 -3.493 10.755
La I In Ag
2 10 2 2
direct
0.000 0.000 0.500
0.000 0.000 0.000
0.744 0.612 0.447
0.337 0.950 0.632
0.902 0.098 0.750
0.050 0.663 0.868
0.256 0.388 0.553
0.663 0.050 0.368
0.388 0.256 0.053
0.098 0.902 0.250
0.612 0.744 0.947
0.950 0.337 0.132
0.618 0.382 0.750
0.382 0.618 0.250
0.692 0.308 0.250
0.308 0.692 0.750
```



The following is a PBE-GGA calculation of ZnHg2Sb after structural relaxation, from Alexandria.

Values from the calculation:
Formation energy without anion corrections, meV/atom: 201
Space group: No. 119

Cell and atoms, written as POSCAR:
```
ZnHg2Sb
1.0
5.338 -0.359 0.000
1.413 5.160 0.000
-3.375 -2.401 3.386
Hg Zn Sb
2 1 1
direct
0.250 0.750 0.500
0.000 0.000 0.000
0.750 0.250 0.500
0.500 0.500 0.000
```



The following is a PBE-GGA calculation of BeC after structural relaxation, from Alexandria.

Values from the calculation:
Space group: No. 12
ΔE_f, eV/atom: 0.3403

Cell and atoms, written as POSCAR:
```
BeC
1.0
3.448 0.000 0.007
0.000 3.121 0.000
-1.576 0.000 5.625
Be C
4 4
direct
0.299 0.000 0.789
0.299 0.500 0.289
0.701 0.000 0.211
0.701 0.500 0.711
0.833 0.000 0.900
0.167 0.500 0.600
0.833 0.500 0.400
0.167 0.000 0.100
```



The following is a PBE-GGA calculation of TcOsRh after structural relaxation, from Alexandria.

Values from the calculation:
Space group: No. 187
ΔE_f, eV/atom: 0.2028

Cell and atoms, written as POSCAR:
```
TcOsRh
1.0
-1.202 4.142 -0.261
-1.386 -2.449 3.279
2.191 0.729 1.470
Tc Os Rh
1 1 1
direct
0.667 0.333 0.833
0.000 0.000 0.833
0.333 0.667 0.333
```